No. 1
DFT (PBE) results for a geometry-optimized LaPm2NdSb4 structure.

```
LaPm2NdSb4
1.0
-7.791 2.607 -3.845
-4.422 -6.456 4.588
5.104 6.037 4.449
La Pm Nd Sb
2 4 2 8
Direct
0.000 0.500 0.000 La
0.000 0.500 0.500 La
0.500 0.000 0.000 Pm
0.500 0.000 0.500 Pm
0.000 0.000 0.500 Pm
0.500 0.500 0.000 Pm
0.500 0.500 0.500 Nd
0.000 0.000 0.000 Nd
0.255 0.754 0.004 Sb
0.746 0.245 0.496 Sb
0.254 0.755 0.504 Sb
0.745 0.246 0.996 Sb
0.748 0.752 0.001 Sb
0.748 0.752 0.499 Sb
0.252 0.248 0.501 Sb
0.252 0.248 0.999 Sb
```

N(E_F) = 0.128 states/eV per atom
total moment = 0.0 μB per formula unit
symmetry = Imma (74)
formation energy (no corrections) = -9.7 eV/f.u.

=====

No. 2
DFT (PBE) results for a geometry-optimized LaPmNd2Sc structure.

```
LaPmNd2Sc
1.0
-5.701 -1.851 -2.970
-1.591 -4.886 6.100
-3.072 4.703 2.966
La Pm Nd Sc
2 2 4 2
Direct
0.317 0.500 0.750 La
0.683 0.500 0.250 La
0.588 0.000 0.250 Pm
0.412 0.000 0.750 Pm
0.794 0.705 0.750 Nd
0.794 0.295 0.750 Nd
0.206 0.705 0.250 Nd
0.206 0.295 0.250 Nd
0.000 0.000 0.000 Sc
0.000 0.000 0.500 Sc
```

N(E_F) = 1.291 states/eV per atom
total moment = 0.0 μB per formula unit
DFT formation energy = 0.17 eV/atom
symmetry = Pmma (51)